Entry 1:
DFT (GGA-PBE) results for an optimized crystal structure of YTeW.

## Properties
Fermi-level density of states = 3.11 states/eV/f.u.
E = -21.98 eV per formula unit
excess energy over the best structure of this formula in the dataset = 0.0657 eV per atom
E_form (uncorrected) = 0.1931 eV/atom
space group = P-6m2 (187)

Lattice parameters (Å, degrees): 4.7040 4.7040 3.5901 90.00 90.00 120.00
Positions (direct):
Y1 0.6667 0.3333 0.6665
W1 0.3333 0.6667 0.1667
Te1 0.0000 0.0000 0.1668

---

Entry 2:
DFT (GGA-PBE) results for an optimized crystal structure of Y2TeW.

## Properties
Fermi-level density of states = 3.94 states/eV/f.u.
E = -28.21 eV per formula unit
E_form (uncorrected) = 0.2026 eV/atom
space group = Pmm2 (25)

Lattice parameters (Å, degrees): 4.0934 4.1079 6.3038 90.00 90.00 90.00
Positions (direct):
Y1 0.5000 0.5000 0.2778
Te1 0.0000 0.0000 0.4561
W1 0.5000 0.5000 0.8197
Y2 0.0000 0.0000 0.9463

---

Entry 3:
DFT (GGA-PBE) results for an optimized crystal structure of Y2TeW.

## Properties
Fermi-level density of states = 4.98 states/eV/f.u.
E = -29.52 eV per formula unit
E_form (uncorrected) = -0.1240 eV/atom
space group = Amm2 (38)

Lattice parameters (Å, degrees): 4.6429 3.8789 5.8704 70.74 90.00 90.00
Positions (direct):
W1 0.5000 0.5466 0.7823
Y1 0.0000 0.9829 0.9097
Y2 0.5000 0.2729 0.3289
Te1 0.0000 0.6976 0.4791

---

Entry 4:
DFT (GGA-PBE) results for an optimized crystal structure of Y2TeW.

## Properties
Fermi-level density of states = 4.22 states/eV/f.u.
E = -27.99 eV per formula unit
E_form (uncorrected) = 0.2575 eV/atom
space group = R3m (160)

Lattice parameters (Å, degrees): 10.0089 10.0089 10.0089 20.10 20.10 20.10
Positions (direct):
Te1 0.4872 0.4872 0.4872
Y1 0.0123 0.0123 0.0123
W1 0.7579 0.7579 0.7579
Y2 0.2426 0.2426 0.2426